A:
# PBE KScPO2, optimized geometry
data_KScPO2
_chemical_formula_sum 'K1 Sc1 P1 O2'
_cell_length_a 4.3570
_cell_length_b 4.3570
_cell_length_c 5.1160
_cell_angle_alpha 90.00
_cell_angle_beta 90.00
_cell_angle_gamma 90.00
_space_group_name_H-M_alt 'P 1'
_space_group_IT_number 1
_space_group_name_Hall 'P 1'
loop_
_atom_site_label
_atom_site_type_symbol
_atom_site_fract_x
_atom_site_fract_y
_atom_site_fract_z
_atom_site_occupancy
O1 O 0.0000 0.5000 0.0000 1
O2 O 0.5000 0.0000 0.0000 1
K1 K 0.0000 0.0000 0.0000 1
Sc1 Sc 0.5000 0.5000 0.5000 1
P1 P 0.0000 0.0000 0.5000 1
# - Density: 2.51 g/cm³
# - D(E_F): 4.01 states/eV/f.u.

***

B:
# PBE KScPO2, optimized geometry
data_KScPO2
_chemical_formula_sum 'K1 Sc1 P1 O2'
_cell_length_a 4.2490
_cell_length_b 4.2490
_cell_length_c 5.3104
_cell_angle_alpha 90.00
_cell_angle_beta 90.00
_cell_angle_gamma 90.00
_space_group_name_H-M_alt 'P 1'
_space_group_IT_number 1
_space_group_name_Hall 'P 1'
loop_
_atom_site_label
_atom_site_type_symbol
_atom_site_fract_x
_atom_site_fract_y
_atom_site_fract_z
_atom_site_occupancy
O1 O 0.5000 0.0000 0.0000 1
O2 O 0.0000 0.5000 0.0000 1
P1 P 0.0000 0.0000 0.5000 1
Sc1 Sc 0.0000 0.0000 0.0000 1
K1 K 0.5000 0.5000 0.5000 1
# - Density: 2.55 g/cm³
# - D(E_F): 2.58 states/eV/f.u.

***

Verdict on stability: B comes out on top.

***

A:
# PBE KScP2O, optimized geometry
data_KScP2O
_chemical_formula_sum 'K1 Sc1 P2 O1'
_cell_length_a 5.4108
_cell_length_b 5.4108
_cell_length_c 3.9221
_cell_angle_alpha 90.00
_cell_angle_beta 90.00
_cell_angle_gamma 90.00
_space_group_name_H-M_alt 'P 1'
_space_group_IT_number 1
_space_group_name_Hall 'P 1'
loop_
_atom_site_label
_atom_site_type_symbol
_atom_site_fract_x
_atom_site_fract_y
_atom_site_fract_z
_atom_site_occupancy
P1 P 0.5000 0.0000 0.0000 1
P2 P 0.0000 0.5000 0.0000 1
K1 K 0.5000 0.5000 0.5000 1
O1 O 0.0000 0.0000 0.5000 1
Sc1 Sc 0.0000 0.0000 0.0000 1
# - Density: 2.34 g/cm³
# - D(E_F): 4.55 states/eV/f.u.

***

B:
# PBE KScP2O, optimized geometry
data_KScP2O
_chemical_formula_sum 'K1 Sc1 P2 O1'
_cell_length_a 5.0637
_cell_length_b 5.0637
_cell_length_c 4.2946
_cell_angle_alpha 90.00
_cell_angle_beta 90.00
_cell_angle_gamma 90.00
_space_group_name_H-M_alt 'P 1'
_space_group_IT_number 1
_space_group_name_Hall 'P 1'
loop_
_atom_site_label
_atom_site_type_symbol
_atom_site_fract_x
_atom_site_fract_y
_atom_site_fract_z
_atom_site_occupancy
K1 K 0.0000 0.0000 0.0000 1
P1 P 0.5000 0.0000 0.0000 1
P2 P 0.0000 0.5000 0.0000 1
Sc1 Sc 0.5000 0.5000 0.5000 1
O1 O 0.0000 0.0000 0.5000 1
# - Density: 2.44 g/cm³
# - D(E_F): 6.43 states/eV/f.u.

***

Verdict on stability: A comes out on top.

***

A:
# PBE KP2SeO, optimized geometry
data_KP2SeO
_chemical_formula_sum 'K1 P2 Se1 O1'
_cell_length_a 5.2196
_cell_length_b 5.2196
_cell_length_c 3.8450
_cell_angle_alpha 90.00
_cell_angle_beta 90.00
_cell_angle_gamma 90.00
_space_group_name_H-M_alt 'P 1'
_space_group_IT_number 1
_space_group_name_Hall 'P 1'
loop_
_atom_site_label
_atom_site_type_symbol
_atom_site_fract_x
_atom_site_fract_y
_atom_site_fract_z
_atom_site_occupancy
Se1 Se 0.0000 0.0000 0.0000 1
P1 P 0.0000 0.5000 0.0000 1
P2 P 0.5000 0.0000 0.0000 1
K1 K 0.5000 0.5000 0.5000 1
O1 O 0.0000 0.0000 0.5000 1
# - Density: 3.11 g/cm³
# - D(E_F): 4.29 states/eV/f.u.

***

B:
# PBE KP2SeO, optimized geometry
data_KP2SeO
_chemical_formula_sum 'K1 P2 Se1 O1'
_cell_length_a 5.8282
_cell_length_b 5.8282
_cell_length_c 4.3877
_cell_angle_alpha 90.00
_cell_angle_beta 90.00
_cell_angle_gamma 90.00
_space_group_name_H-M_alt 'P 1'
_space_group_IT_number 1
_space_group_name_Hall 'P 1'
loop_
_atom_site_label
_atom_site_type_symbol
_atom_site_fract_x
_atom_site_fract_y
_atom_site_fract_z
_atom_site_occupancy
K1 K 0.0000 0.0000 0.0000 1
Se1 Se 0.5000 0.5000 0.5000 1
P1 P 0.0000 0.5000 0.0000 1
P2 P 0.5000 0.0000 0.0000 1
O1 O 0.0000 0.0000 0.5000 1
# - Density: 2.18 g/cm³
# - D(E_F): 4.35 states/eV/f.u.

***

Verdict on stability: A comes out on top.

***

A:
# PBE KPSeO2, optimized geometry
data_KPSeO2
_chemical_formula_sum 'K1 P1 Se1 O2'
_cell_length_a 4.3582
_cell_length_b 4.3582
_cell_length_c 7.7422
_cell_angle_alpha 90.00
_cell_angle_beta 90.00
_cell_angle_gamma 90.00
_space_group_name_H-M_alt 'P 1'
_space_group_IT_number 1
_space_group_name_Hall 'P 1'
loop_
_atom_site_label
_atom_site_type_symbol
_atom_site_fract_x
_atom_site_fract_y
_atom_site_fract_z
_atom_site_occupancy
O1 O 0.5000 0.0000 0.0000 1
O2 O 0.0000 0.5000 0.0000 1
P1 P 0.0000 0.0000 0.5000 1
Se1 Se 0.5000 0.5000 0.5000 1
K1 K 0.0000 0.0000 0.0000 1
# - Density: 2.04 g/cm³
# - D(E_F): 4.73 states/eV/f.u.

***

B:
# PBE KPSeO2, optimized geometry
data_KPSeO2
_chemical_formula_sum 'K1 P1 Se1 O2'
_cell_length_a 4.1984
_cell_length_b 4.1984
_cell_length_c 4.8778
_cell_angle_alpha 90.00
_cell_angle_beta 90.00
_cell_angle_gamma 90.00
_space_group_name_H-M_alt 'P 1'
_space_group_IT_number 1
_space_group_name_Hall 'P 1'
loop_
_atom_site_label
_atom_site_type_symbol
_atom_site_fract_x
_atom_site_fract_y
_atom_site_fract_z
_atom_site_occupancy
O1 O 0.0000 0.5000 0.0000 1
O2 O 0.5000 0.0000 0.0000 1
P1 P 0.0000 0.0000 0.5000 1
Se1 Se 0.0000 0.0000 0.0000 1
K1 K 0.5000 0.5000 0.5000 1
# - Density: 3.50 g/cm³
# - D(E_F): 2.58 states/eV/f.u.

***

Verdict on stability: B comes out on top.

***

A:
# PBE KSiP2O, optimized geometry
data_KSiP2O
_chemical_formula_sum 'K1 Si1 P2 O1'
_cell_length_a 5.2988
_cell_length_b 5.2988
_cell_length_c 4.0847
_cell_angle_alpha 90.00
_cell_angle_beta 90.00
_cell_angle_gamma 90.00
_space_group_name_H-M_alt 'P 1'
_space_group_IT_number 1
_space_group_name_Hall 'P 1'
loop_
_atom_site_label
_atom_site_type_symbol
_atom_site_fract_x
_atom_site_fract_y
_atom_site_fract_z
_atom_site_occupancy
O1 O 0.0000 0.0000 0.5000 1
P1 P 0.5000 0.0000 0.0000 1
P2 P 0.0000 0.5000 0.0000 1
K1 K 0.0000 0.0000 0.0000 1
Si1 Si 0.5000 0.5000 0.5000 1
# - Density: 2.10 g/cm³
# - D(E_F): 5.46 states/eV/f.u.

***

B:
# PBE KSiP2O, optimized geometry
data_KSiP2O
_chemical_formula_sum 'K1 Si1 P2 O1'
_cell_length_a 5.1953
_cell_length_b 5.1953
_cell_length_c 3.3193
_cell_angle_alpha 90.00
_cell_angle_beta 90.00
_cell_angle_gamma 90.00
_space_group_name_H-M_alt 'P 1'
_space_group_IT_number 1
_space_group_name_Hall 'P 1'
loop_
_atom_site_label
_atom_site_type_symbol
_atom_site_fract_x
_atom_site_fract_y
_atom_site_fract_z
_atom_site_occupancy
O1 O 0.0000 0.0000 0.5000 1
P1 P 0.5000 0.0000 0.0000 1
P2 P 0.0000 0.5000 0.0000 1
Si1 Si 0.0000 0.0000 0.0000 1
K1 K 0.5000 0.5000 0.5000 1
# - Density: 2.69 g/cm³
# - D(E_F): 3.52 states/eV/f.u.

***

Verdict on stability: B comes out on top.

***

A:
# PBE KSiPO2, optimized geometry
data_KSiPO2
_chemical_formula_sum 'K1 Si1 P1 O2'
_cell_length_a 4.0304
_cell_length_b 4.5401
_cell_length_c 4.0304
_cell_angle_alpha 90.00
_cell_angle_beta 90.00
_cell_angle_gamma 90.00
_space_group_name_H-M_alt 'P 1'
_space_group_IT_number 1
_space_group_name_Hall 'P 1'
loop_
_atom_site_label
_atom_site_type_symbol
_atom_site_fract_x
_atom_site_fract_y
_atom_site_fract_z
_atom_site_occupancy
P1 P 0.0000 0.0000 0.0000 1
Si1 Si 0.0000 0.5000 0.0000 1
K1 K 0.5000 0.5000 0.5000 1
O1 O 0.5000 0.0000 0.0000 1
O2 O 0.0000 0.0000 0.5000 1
# - Density: 2.93 g/cm³
# - D(E_F): 2.72 states/eV/f.u.

***

B:
# PBE KSiPO2, optimized geometry
data_KSiPO2
_chemical_formula_sum 'K1 Si1 P1 O2'
_cell_length_a 4.4242
_cell_length_b 4.4242
_cell_length_c 6.1880
_cell_angle_alpha 90.00
_cell_angle_beta 90.00
_cell_angle_gamma 90.00
_space_group_name_H-M_alt 'P 1'
_space_group_IT_number 1
_space_group_name_Hall 'P 1'
loop_
_atom_site_label
_atom_site_type_symbol
_atom_site_fract_x
_atom_site_fract_y
_atom_site_fract_z
_atom_site_occupancy
O1 O 0.0000 0.5000 0.0000 1
O2 O 0.5000 0.0000 0.0000 1
Si1 Si 0.5000 0.5000 0.5000 1
P1 P 0.0000 0.0000 0.5000 1
K1 K 0.0000 0.0000 0.0000 1
# - Density: 1.78 g/cm³
# - D(E_F): 6.10 states/eV/f.u.

***

Verdict on stability: A comes out on top.